First-principles (PBE) data for Pr2PPb after structural relaxation, as listed in the Alexandria database.

Cell lengths 8.7954, 8.7954, 8.7954 Å; angles 26.75, 26.75, 26.75 degrees
Closest atoms and distances in Å follow each position.
Fractional positions:
Pr (0.0000, 0.0000, 0.0000)  3 P 2.87
Pr (0.2024, 0.2024, 0.2024)  3 P 2.89
P (0.6017, 0.6017, 0.6017)  6 Pr 2.87-2.89
Pb (0.4338, 0.4338, 0.4338)  6 Pr 3.47-3.50

Computed properties:
Crystal system: trigonal
Uncorrected energy (eV per atom): -5.654
Space group: R3m (160)
Calculated formation energy (eV per formula unit): -3.94
Energy relative to the lowest polymorph listed for this composition (meV per atom): 36.9



First-principles (PBE) data for Pr2PPb after structural relaxation, as listed in the Alexandria database.

Cell lengths 8.5497, 8.5497, 8.5497 Å; angles 27.88, 27.88, 27.88 degrees
Closest atoms and distances in Å follow each position.
Fractional positions:
Pr (0.2341, 0.2341, 0.2341)  3 P 2.90
Pr (0.7659, 0.7659, 0.7659)  3 P 2.90
P (0.5000, 0.5000, 0.5000)  6 Pr 2.90
Pb (0.0000, 0.0000, 0.0000)  6 Pr 3.41

Computed properties:
Crystal system: trigonal
Uncorrected energy (eV per atom): -5.691
Space group: R-3m (166)
Calculated formation energy (eV per formula unit): -4.09
Energy relative to the lowest polymorph listed for this composition (meV per atom): 0.0